A plane-wave DFT calculation with PBE was carried out for a relaxed structure of ReBiAsO.

Cell and atoms, written as POSCAR:
```
ReBiAsO
1.0
-0.790 3.073 2.078
-5.276 -3.592 3.306
3.794 -1.798 4.102
As Bi O Re
2 2 2 2
direct
0.000 0.240 0.361
0.000 0.760 0.861
0.500 0.920 0.389
0.500 0.080 0.889
0.500 0.440 0.000
0.500 0.560 0.500
0.000 0.436 0.004
0.000 0.564 0.504
```

Space-group type: Pmc2_1
E_tot: -6.6839 eV/atom